Computed, not measured: CdAg3 after structural relaxation at the PBE-GGA level of DFT.

Cell: 5.3546 5.3546 5.3546 Å, 90.00 90.00 90.00°
Last column: nearest neighbours and their distance in Å.
Positions (direct):
Ag1 0.0000 0.2500 0.5000  2 Ag 2.68, 4 Cd 2.99
Ag2 0.0000 0.7500 0.5000  2 Ag 2.68, 4 Cd 2.99
Ag3 0.2500 0.5000 0.0000  2 Ag 2.68, 4 Cd 2.99
Ag4 0.5000 0.0000 0.2500  2 Ag 2.68, 4 Cd 2.99
Ag5 0.5000 0.0000 0.7500  2 Ag 2.68, 4 Cd 2.99
Ag6 0.7500 0.5000 0.0000  2 Ag 2.68, 4 Cd 2.99
Cd1 0.0000 0.0000 0.0000  12 Ag 2.99
Cd2 0.5000 0.5000 0.5000  12 Ag 2.99

* symmetry: Pm-3n (223)
* final energy: -2.3050 eV/atom
* crystal system: cubic
* E_form: 0.062 eV per atom